Entry 1:
# NbTcW2 PBE optimized geometry
data_NbTcW2
_cell_length_a 6.370
_cell_length_b 6.370
_cell_length_c 6.370
_cell_angle_alpha 90.00
_cell_angle_beta 90.00
_cell_angle_gamma 90.00
_space_group_name_H-M_alt 'F m -3 m'
_space_group_IT_number 225
_space_group_name_Hall '-F 4 2 3'
loop_
_atom_site_label
_atom_site_type_symbol
_atom_site_fract_x
_atom_site_fract_y
_atom_site_fract_z
_atom_site_occupancy
Nb1 Nb 0.000 0.000 0.000 1
Tc1 Tc 0.000 0.000 0.500 1
W1 W 0.250 0.250 0.250 1
# ΔH_f (0 K) = -0.03 eV/atom
# Spin magnetization = 0.0 Bohr magnetons per cell
# ΔE to the lowest computed polymorph = 56.7 meV per atom
# E = -11.617 eV per atom

=====

Entry 2:
# Nb4Tc5W PBE optimized geometry
data_Nb4Tc5W
_cell_length_a 3.180
_cell_length_b 3.180
_cell_length_c 15.928
_cell_angle_alpha 90.00
_cell_angle_beta 90.00
_cell_angle_gamma 90.00
_space_group_name_H-M_alt 'P 4/m m m'
_space_group_IT_number 123
_space_group_name_Hall '-P 4 2'
loop_
_atom_site_label
_atom_site_type_symbol
_atom_site_fract_x
_atom_site_fract_y
_atom_site_fract_z
_atom_site_occupancy
Nb1 Nb 0.000 0.000 0.100 1
Nb2 Nb 0.000 0.000 0.300 1
Tc1 Tc 0.500 0.500 0.000 1
Tc2 Tc 0.500 0.500 0.202 1
Tc3 Tc 0.500 0.500 0.403 1
W1 W 0.000 0.000 0.500 1
# ΔH_f (0 K) = -0.27 eV/atom
# Spin magnetization = 0.0 Bohr magnetons per cell
# E = -10.771 eV per atom

=====

Entry 3:
# Nb3TcW PBE optimized geometry
data_Nb3TcW
_cell_length_a 5.7774
_cell_length_b 5.7774
_cell_length_c 20.8328
_cell_angle_alpha 90.00
_cell_angle_beta 90.00
_cell_angle_gamma 120.00
_space_group_name_H-M_alt 'R -3 m'
_space_group_IT_number 166
_space_group_name_Hall '-R 3 2"'
loop_
_atom_site_label
_atom_site_type_symbol
_atom_site_fract_x
_atom_site_fract_y
_atom_site_fract_z
_atom_site_occupancy
Nb1 Nb 0.0019 0.5009 0.0993 1
Tc1 Tc 0.0000 0.0000 0.3339 1
W1 W 0.0000 0.0000 0.1340 1
# ΔH_f (0 K) = 0.64 eV/atom
# Spin magnetization = 0.0 Bohr magnetons per cell
# ΔE to the lowest computed polymorph = 825.5 meV per atom
# E = -10.068 eV per atom